VASP calculation (PBE) on crystalline BaLiSiGe2 at its relaxed geometry.

Values from the calculation:
Its mass density is 4.64 g/cm3. As for the crystal system: tetragonal. The value obtained for the density of states at the Fermi level is 2.788 states/eV/cell. Its uncorrected formation energy is -0.3154 eV/atom.

a b c (Å): 6.4700 6.4700 6.4700
angles (deg): 139.41 139.41 58.75
Atoms (fractional coordinates):
Ba1 0.0000 0.0000 0.0000
Li1 0.7500 0.2500 0.5000
Si1 0.2500 0.7500 0.5000
Ge1 0.3758 0.3758 0.0000
Ge2 0.6242 0.6242 0.0000